Computed, not measured: a relaxed structure of Rb3VAg2F9 at the GGA+U level of DFT.

The total moment is 0.93 μB/cell. The density of states at the Fermi level is 1.9 states/eV per cell. The electronic total energy is -0.331 Ry/atom.

It has space group P-3m1 (No. 164), with a = 6.4240 Å, b = 6.4240 Å, c = 7.8522 Å, α = 90.00°, β = 90.00° and γ = 120.00°. Symmetry generates all atoms from Rb at (0.0000, 0.0000, 0.0000), Rb at (0.3333, 0.6667, 0.7294), V at (0.0000, 0.0000, 0.5000), Ag at (0.3333, 0.6667, 0.1828), F at (0.0000, 0.5000, 0.0000) and F at (0.1401, 0.2802, 0.3643).